Entry 1:
First-principles (PBE) data for Li2TlNi after structural relaxation, as listed in Alexandria.

Output
ΔE_f (eV per atom): -0.05
Total moment (Bohr magnetons per cell): 0.0
Energy (eV per atom): -3.05
Calculated volume (Å³ per cell): 62.9

Unit cell a=3.8461 b=3.8446 c=4.2533 alpha=90.00 beta=90.00 gamma=90.00
Atoms (fractional coordinates):
Li 0.0000 0.0000 0.0000
Li 0.5000 0.5000 0.0000
Tl 0.0000 0.5000 0.5000
Ni 0.5000 0.0000 0.5000

=====

Entry 2:
First-principles (PBE) data for Li2TlNi after structural relaxation, as listed in Alexandria.

Output
ΔE_f (eV per atom): 0.21
Total moment (Bohr magnetons per cell): 0.0
Energy (eV per atom): -2.79
Calculated volume (Å³ per cell): 75.5

Unit cell a=8.6587 b=8.6587 c=8.6587 alpha=21.37 beta=21.37 gamma=21.37
Atoms (fractional coordinates):
Ni 0.5016 0.5016 0.5016
Li 0.0023 0.0023 0.0023
Li 0.2384 0.2384 0.2384
Tl 0.7577 0.7577 0.7577

=====

Entry 3:
First-principles (PBE) data for Li2TlNi after structural relaxation, as listed in Alexandria.

Output
ΔE_f (eV per atom): 0.05
Total moment (Bohr magnetons per cell): 0.0
Energy (eV per atom): -2.95
Calculated volume (Å³ per cell): 65.8

Unit cell a=4.2215 b=2.9394 c=5.4653 alpha=75.96 beta=90.00 gamma=90.00
Atoms (fractional coordinates):
Ni 0.0000 0.4772 0.4884
Li 0.5000 0.2692 0.2603
Li 0.0000 0.0211 0.0175
Tl 0.5000 0.7325 0.7338

=====

Entry 4:
First-principles (PBE) data for Li2TlNi after structural relaxation, as listed in Alexandria.

Output
ΔE_f (eV per atom): 0.03
Total moment (Bohr magnetons per cell): 0.0
Energy (eV per atom): -2.97
Calculated volume (Å³ per cell): 64.2

Unit cell a=6.2581 b=4.6987 c=3.0792 alpha=90.10 beta=60.35 gamma=120.26
Atoms (fractional coordinates):
Li 0.0000 0.0000 0.0000
Li 0.5000 0.0000 0.5000
Ni 0.0000 0.5000 0.5000
Tl 0.5000 0.5000 0.0000

=====

Entry 5:
First-principles (PBE) data for Li2Tl2Ni after structural relaxation, as listed in Alexandria.

Output
ΔE_f (eV per atom): 0.06
Total moment (Bohr magnetons per cell): 0.0
Energy (eV per atom): -2.81
Calculated volume (Å³ per cell): 202.0
Energy relative to the lowest polymorph listed for this composition (meV/atom): 0

Unit cell a=6.9928 b=6.9928 c=4.1318 alpha=90.00 beta=90.00 gamma=90.00
Atoms (fractional coordinates):
Tl 0.1586 0.3414 0.0000
Tl 0.8414 0.6586 0.0000
Tl 0.6586 0.1586 0.0000
Tl 0.3414 0.8414 0.0000
Li 0.3435 0.1565 0.5000
Li 0.8435 0.3435 0.5000
Li 0.6565 0.8435 0.5000
Li 0.1565 0.6565 0.5000
Ni 0.5000 0.5000 0.0000
Ni 0.0000 0.0000 0.0000

=====

Entry 6:
First-principles (PBE) data for Li2TlNi after structural relaxation, as listed in Alexandria.

Output
ΔE_f (eV per atom): -0.06
Total moment (Bohr magnetons per cell): 0.0
Energy (eV per atom): -3.05
Calculated volume (Å³ per cell): 62.9

Unit cell a=5.0512 b=5.0512 c=5.0512 alpha=135.29 beta=135.29 gamma=65.09
Atoms (fractional coordinates):
Tl 0.7500 0.2500 0.5000
Li 0.0000 0.0000 0.0000
Li 0.5000 0.5000 0.0000
Ni 0.2500 0.7500 0.5000

=====

Entry 7:
First-principles (PBE) data for LiTlNi3 after structural relaxation, as listed in Alexandria.

Output
ΔE_f (eV per atom): 0.60
Total moment (Bohr magnetons per cell): 0.0
Energy (eV per atom): -3.73
Calculated volume (Å³ per cell): 68.0
Energy relative to the lowest polymorph listed for this composition (meV/atom): 0

Unit cell a=4.0812 b=4.0812 c=4.0812 alpha=90.00 beta=90.00 gamma=90.00
Atoms (fractional coordinates):
Li 0.0000 0.0000 0.0000
Tl 0.5000 0.5000 0.5000
Ni 0.0000 0.5000 0.0000
Ni 0.0000 0.0000 0.5000
Ni 0.5000 0.0000 0.0000

=====

Entry 8:
First-principles (PBE) data for Li2TlNi after structural relaxation, as listed in Alexandria.

Output
ΔE_f (eV per atom): 0.20
Total moment (Bohr magnetons per cell): 0.0
Energy (eV per atom): -2.80
Calculated volume (Å³ per cell): 71.8

Unit cell a=8.7521 b=8.7521 c=8.7521 alpha=20.48 beta=20.48 gamma=20.48
Atoms (fractional coordinates):
Li 0.9877 0.9877 0.9877
Li 0.5123 0.5123 0.5123
Ni 0.2500 0.2500 0.2500
Tl 0.7500 0.7500 0.7500

=====

Entry 9:
First-principles (PBE) data for LiY2TlNi after structural relaxation, as listed in Alexandria.

Output
ΔE_f (eV per atom): -0.11
Total moment (Bohr magnetons per cell): 0.0
Energy (eV per atom): -4.71
Calculated volume (Å³ per cell): 124.6

Unit cell a=5.2211 b=5.2211 c=4.5720 alpha=90.00 beta=90.00 gamma=90.00
Atoms (fractional coordinates):
Tl 0.5000 0.5000 0.5000
Li 0.0000 0.0000 0.5000
Ni 0.0000 0.0000 0.0000
Y 0.5000 0.0000 0.0000
Y 0.0000 0.5000 0.0000

=====

Entry 10:
First-principles (PBE) data for LiYTlNi after structural relaxation, as listed in Alexandria.

Output
ΔE_f (eV per atom): -0.26
Total moment (Bohr magnetons per cell): 0.0
Energy (eV per atom): -4.39
Calculated volume (Å³ per cell): 74.5

Unit cell a=4.7227 b=4.7227 c=4.7227 alpha=60.00 beta=60.00 gamma=60.00
Atoms (fractional coordinates):
Tl 0.2500 0.2500 0.2500
Li 0.0000 0.0000 0.0000
Ni 0.5000 0.5000 0.5000
Y 0.7500 0.7500 0.7500

=====

Entry 11:
First-principles (PBE) data for LiZrTlNi after structural relaxation, as listed in Alexandria.

Output
ΔE_f (eV per atom): -0.24
Total moment (Bohr magnetons per cell): 0.0
Energy (eV per atom): -4.90
Calculated volume (Å³ per cell): 65.6

Unit cell a=4.5277 b=4.5277 c=4.5277 alpha=60.00 beta=60.00 gamma=60.00
Atoms (fractional coordinates):
Zr 0.7500 0.7500 0.7500
Tl 0.2500 0.2500 0.2500
Ni 0.5000 0.5000 0.5000
Li 0.0000 0.0000 0.0000

=====

Entry 12:
First-principles (PBE) data for LiZrTlNi2 after structural relaxation, as listed in Alexandria.

Output
ΔE_f (eV per atom): 0.79
Total moment (Bohr magnetons per cell): 0.0
Energy (eV per atom): -4.09
Calculated volume (Å³ per cell): 98.6

Unit cell a=4.7407 b=4.3859 c=4.7407 alpha=90.00 beta=90.00 gamma=90.00
Atoms (fractional coordinates):
Ni 0.5000 0.0000 0.0000
Ni 0.0000 0.0000 0.5000
Li 0.0000 0.5000 0.0000
Zr 0.5000 0.5000 0.5000
Tl 0.0000 0.0000 0.0000